Entry 1:
A geometry-optimized Ti2Te6Ru structure. Source: Alexandria via LeMat-Bulk, functional PBE-GGA.

Geometry as POSCAR:
```
Ti2Te6Ru
1.0
6.990 0.000 0.000
0.000 6.873 0.000
-6.680 0.000 9.162
Ti Te Ru
4 12 2
Direct
0.219 0.159 0.246
0.219 0.341 0.746
0.781 0.659 0.254
0.781 0.841 0.754
0.089 0.166 0.920
0.089 0.334 0.420
0.267 0.662 0.926
0.267 0.838 0.426
0.423 0.503 0.259
0.423 0.997 0.759
0.577 0.003 0.241
0.577 0.497 0.741
0.733 0.162 0.574
0.733 0.338 0.074
0.911 0.666 0.580
0.911 0.834 0.080
0.000 0.000 0.500
0.000 0.500 0.000
```

Calculated values
* formation energy (no corrections): -3.50 eV/f.u.

***

Entry 2:
A geometry-optimized Ti3TeRu structure. Source: Alexandria via LeMat-Bulk, functional PBE-GGA.

Geometry as POSCAR:
```
Ti3TeRu
1.0
4.723 0.000 0.000
0.000 4.723 0.000
0.000 0.000 4.723
Ti Te Ru
3 1 1
Direct
0.000 0.000 0.500
0.000 0.500 0.000
0.500 0.000 0.000
0.500 0.500 0.500
0.000 0.000 0.000
```

Calculated values
* formation energy (no corrections): 0.72 eV/f.u.
* energy above the most stable polymorph in this dataset: 0.000 eV per atom

***

Entry 3:
A geometry-optimized TiTeRu2 structure. Source: Alexandria via LeMat-Bulk, functional PBE-GGA.

Geometry as POSCAR:
```
TiTeRu2
1.0
4.117 0.000 0.000
0.000 4.117 0.000
0.000 0.000 17.091
Ti Te Ru
4 4 8
Direct
0.000 0.000 0.000
0.000 0.500 0.250
0.500 0.000 0.750
0.500 0.500 0.500
0.000 0.000 0.500
0.000 0.500 0.750
0.500 0.000 0.250
0.500 0.500 0.000
0.234 0.250 0.125
0.250 0.734 0.375
0.250 0.766 0.875
0.266 0.250 0.625
0.734 0.750 0.625
0.750 0.234 0.875
0.750 0.266 0.375
0.766 0.750 0.125
```

Calculated values
* formation energy (no corrections): 0.80 eV/f.u.

***

Entry 4:
A geometry-optimized TiTe2Ru2 structure. Source: Alexandria via LeMat-Bulk, functional PBE-GGA.

Geometry as POSCAR:
```
TiTe2Ru2
1.0
7.642 0.000 0.000
0.000 7.642 0.000
0.000 0.000 3.142
Ti Te Ru
2 4 4
Direct
0.000 0.000 0.000
0.500 0.500 0.000
0.158 0.342 0.000
0.342 0.842 0.000
0.658 0.158 0.000
0.842 0.658 0.000
0.143 0.643 0.500
0.357 0.143 0.500
0.643 0.857 0.500
0.857 0.357 0.500
```

Calculated values
* formation energy (no corrections): 1.04 eV/f.u.
* energy above the most stable polymorph in this dataset: 0.000 eV per atom